1.
PbCl | GGA-PBE | relaxed

```
PbCl
1.0
11.6451 0.0000 0.0000
-5.8225 10.0849 0.0000
0.0000 0.0000 3.7358
Pb Cl
6 6
direct
0.0808 0.8025 0.2500 Pb
0.1975 0.2782 0.2500 Pb
0.2782 0.0808 0.7500 Pb
0.7218 0.9192 0.2500 Pb
0.8025 0.7218 0.7500 Pb
0.9192 0.1975 0.7500 Pb
0.1383 0.6664 0.7500 Cl
0.3336 0.4719 0.7500 Cl
0.4719 0.1383 0.2500 Cl
0.5281 0.8617 0.7500 Cl
0.6664 0.5281 0.2500 Cl
0.8617 0.3336 0.2500 Cl
```

Calculated density ... 5.5 g/cm3
Total moment ... 0.0 μB/f.u.
Fermi-level density of states ... 6.727 states/eV/cell
ΔE_f (raw) ... -0.467 eV per atom

2.
FeTc2Ir | GGA-PBE | relaxed

```
FeTc2Ir
1.0
2.6967 0.0000 0.0000
0.0000 2.6967 0.0000
0.0000 0.0000 7.5870
Fe Tc Ir
1 2 1
direct
0.0000 0.0000 0.0000 Fe
0.0000 0.0000 0.4974 Tc
0.5000 0.5000 0.7645 Tc
0.5000 0.5000 0.2436 Ir
```

Calculated density ... 13.4 g/cm3
Total moment ... 1.7 μB/f.u.
Fermi-level density of states ... 4.285 states/eV/cell
Energy ... -9.513 eV per atom

3.
Nd12Sm6Tm | GGA-PBE | relaxed

```
Nd12Sm6Tm
1.0
6.6719 3.8520 4.3925
-6.6719 3.8520 4.3925
0.0000 -7.7041 4.3925
Nd Sm Tm
12 6 1
direct
0.0000 0.2626 0.7374 Nd
0.0000 0.7374 0.2626 Nd
0.1696 0.5829 0.5829 Nd
0.2626 0.0000 0.7374 Nd
0.2626 0.7374 0.0000 Nd
0.4171 0.4171 0.8304 Nd
0.4171 0.8304 0.4171 Nd
0.5829 0.1696 0.5829 Nd
0.5829 0.5829 0.1696 Nd
0.7374 0.0000 0.2626 Nd
0.7374 0.2626 0.0000 Nd
0.8304 0.4171 0.4171 Nd
0.1374 0.1374 0.4057 Sm
0.1374 0.4057 0.1374 Sm
0.4057 0.1374 0.1374 Sm
0.5943 0.8626 0.8626 Sm
0.8626 0.5943 0.8626 Sm
0.8626 0.8626 0.5943 Sm
0.0000 0.0000 0.0000 Tm
```

Calculated density ... 6.9 g/cm3
Total moment ... 0.0 μB/f.u.
Fermi-level density of states ... 26.192 states/eV/cell
Energy ... -4.616 eV per atom

4.
Sr2InSb2 | GGA-PBE | relaxed

```
Sr2InSb2
1.0
2.6823 -8.7263 0.0000
2.6823 8.7263 0.0000
0.0000 0.0000 7.4959
Sr In Sb
4 2 4
direct
0.0134 0.9866 0.5000 Sr
0.2066 0.7934 0.2064 Sr
0.7934 0.2066 0.7064 Sr
0.9866 0.0134 0.0000 Sr
0.3994 0.6006 0.3272 In
0.6006 0.3994 0.8272 In
0.1661 0.8339 0.7574 Sb
0.4293 0.5707 0.7319 Sb
0.5707 0.4293 0.2319 Sb
0.8339 0.1661 0.2574 Sb
```

Calculated density ... 5.0 g/cm3
Total moment ... 0.0 μB/f.u.
Fermi-level density of states ... 1.207 states/eV/cell
ΔE_f (raw) ... -0.731 eV per atom